Entry 1:
VCO3 after structural relaxation, computed with PBE with a Hubbard U.

Space-group type: Pm-3m, No. 221
DOS at the Fermi energy, states/eV/cell: 1.089
E_tot, eV/atom: -6.092
Size of the total moment, μB/cell: 2.261
Crystal system: cubic

a = 3.4294 Å, b = 3.4294 Å, c = 3.4294 Å
α = 90.00°, β = 90.00°, γ = 90.00°
Each line ends with the local moment (μB).
Fractional coordinates of all 5 atoms:
1 C 0.0000 0.0000 0.0000  0.06
2 O 0.0000 0.5000 0.0000  -0.03
3 O 0.0000 0.0000 0.5000  -0.03
4 O 0.5000 0.0000 0.0000  -0.03
5 V 0.5000 0.5000 0.5000  2.16

Entry 2:
FeRe2HF after structural relaxation, computed with PBE with a Hubbard U.

Space-group type: P4/mmm, No. 123
DOS at the Fermi energy, states/eV/cell: 4.696
E_tot, eV/atom: -6.455
Size of the total moment, μB/cell: 3.285
Crystal system: tetragonal

a = 3.6216 Å, b = 5.0289 Å, c = 3.6216 Å
α = 90.00°, β = 90.00°, γ = 90.00°
Each line ends with the local moment (μB).
Fractional coordinates of all 5 atoms:
1 Re 0.0000 0.0000 0.5000  -0.10
2 Re 0.5000 0.0000 0.0000  -0.18
3 Fe 0.0000 0.5000 0.0000  3.61
4 H 0.0000 0.0000 0.0000  0.00
5 F 0.5000 0.5000 0.5000  0.01